#i
10
Lattice="5.874 0.001 0.000 2.937 5.086 -0.001 2.937 1.695 5.376" Properties=species:S:1:pos:R:3 comment="Na2HgRhF6 (PBE, relaxed)" magmom_total_mub_per_cell=0.2 pbc="T T T"
F 5.104 5.281 1.147
F 7.896 3.115 1.148
F 4.623 1.780 1.147
F 6.456 4.861 4.218
F 4.309 3.159 4.219
F 6.856 2.150 4.218
Hg 8.810 5.086 3.237
Na 2.937 1.695 5.340
Na 5.874 3.391 2.225
Rh 2.937 1.695 0.061



#ii
10
Lattice="-0.220 4.346 4.485 -4.122 4.681 -0.385 -4.867 0.207 3.914" Properties=species:S:1:pos:R:3 comment="Na2HgRhF6 (PBE, relaxed)" magmom_total_mub_per_cell=0.0 pbc="T T T"
F -4.344 4.652 1.639
F -2.240 4.471 4.265
F -6.969 4.763 3.749
F -4.463 6.995 4.058
F -4.865 4.582 6.376
F -4.746 2.239 3.957
Na -6.907 6.926 6.011
Na -2.302 2.309 2.004
Hg -4.605 4.617 4.007
Rh 0.000 0.000 0.000



Ranking the structures above by energy, #i is first and the second is 153 meV/atom behind.